Model one:
DFT (PBE-GGA) results for an optimized crystal structure of Sm2SnSe.

```
data_Sm2SnSe
_chemical_formula_sum 'Sm2 Sn1 Se1'
_space_group_name_H-M_alt 'P 4/m m m'
_space_group_IT_number 123
_space_group_name_Hall '-P 4 2'
_cell_length_a 3.569
_cell_length_b 3.569
_cell_length_c 8.123
_cell_angle_alpha 90.00
_cell_angle_beta 90.00
_cell_angle_gamma 90.00
loop_
_atom_site_label
_atom_site_fract_x
_atom_site_fract_y
_atom_site_fract_z
Sm1 0.000 0.000 0.230
Sn1 0.500 0.500 0.500
Se1 0.500 0.500 0.000
```

Properties
For the density, the calculation gives 7998 kg/m3. The calculation puts the spin magnetization at 0.101 μB per cell.

Model two:
DFT (PBE-GGA) results for an optimized crystal structure of Sm2SnSe.

```
data_Sm2SnSe
_chemical_formula_sum 'Sm8 Sn4 Se4'
_space_group_name_H-M_alt 'P m n a'
_space_group_IT_number 53
_cell_length_a 6.143
_cell_length_b 6.142
_cell_length_c 12.264
_cell_angle_alpha 90.00
_cell_angle_beta 90.00
_cell_angle_gamma 90.00
loop_
_space_group_symop_operation_xyz
'x,y,z'
'-x,-y,-z'
'-x+1/2,-y,z+1/2'
'x+1/2,y,-z+1/2'
'x,-y,-z'
'-x,y,z'
'-x+1/2,y,-z+1/2'
'x+1/2,-y,z+1/2'
loop_
_atom_site_label
_atom_site_fract_x
_atom_site_fract_y
_atom_site_fract_z
Sm1 0.000 0.250 0.120
Sm2 0.000 0.250 0.630
Sn1 0.000 0.250 0.375
Se1 0.000 0.250 0.875
```

Properties
For the density, the calculation gives 7154 kg/m3. The calculation puts the spin magnetization at 0.000 μB per cell.

model two has the most favorable energy; the next structure is 177 meV per atom above.

Model one:
DFT (PBE-GGA) results for an optimized crystal structure of TbSmSe3.

```
data_TbSmSe3
_chemical_formula_sum 'Tb2 Sm2 Se6'
_space_group_name_H-M_alt 'P 1 21/m 1'
_space_group_IT_number 11
_cell_length_a 8.155
_cell_length_b 4.103
_cell_length_c 8.246
_cell_angle_alpha 90.00
_cell_angle_beta 94.59
_cell_angle_gamma 90.00
loop_
_space_group_symop_operation_xyz
'x,y,z'
'-x,-y,-z'
'-x,y+1/2,-z'
'x,-y+1/2,z'
loop_
_atom_site_label
_atom_site_fract_x
_atom_site_fract_y
_atom_site_fract_z
Tb1 0.145 0.250 0.180
Sm1 0.382 0.750 0.731
Se1 0.106 0.250 0.820
Se2 0.319 0.250 0.480
Se3 0.377 0.750 0.112
```

Properties
For the density, the calculation gives 6595 kg/m3. The calculation puts the spin magnetization at 0.000 μB per cell.

Model two:
DFT (PBE-GGA) results for an optimized crystal structure of TbSmSe3.

```
data_TbSmSe3
_chemical_formula_sum 'Tb4 Sm4 Se12'
_space_group_name_H-M_alt 'C 1 2/m 1'
_space_group_IT_number 12
_cell_length_a 16.702
_cell_length_b 4.352
_cell_length_c 8.875
_cell_angle_alpha 90.00
_cell_angle_beta 118.69
_cell_angle_gamma 90.00
loop_
_space_group_symop_operation_xyz
'x,y,z'
'-x,-y,-z'
'-x,y,-z'
'x,-y,z'
'x+1/2,y+1/2,z'
'-x+1/2,-y+1/2,-z'
'-x+1/2,y+1/2,-z'
'x+1/2,-y+1/2,z'
loop_
_atom_site_label
_atom_site_fract_x
_atom_site_fract_y
_atom_site_fract_z
Tb1 0.151 0.000 0.260
Sm1 0.125 0.500 0.785
Se1 0.044 0.000 0.868
Se2 0.141 0.500 0.468
Se3 0.236 0.500 0.158
```

Properties
For the density, the calculation gives 6411 kg/m3. The calculation puts the spin magnetization at 0.000 μB per cell.

model one has the most favorable energy; the next structure is 43 meV per atom above.

Model one:
DFT (PBE-GGA) results for an optimized crystal structure of Tb3SmSe4.

```
data_Tb3SmSe4
_chemical_formula_sum 'Tb9 Sm3 Se12'
_space_group_name_H-M_alt 'R -3 m'
_space_group_IT_number 166
_space_group_name_Hall '-R 3 2"'
_cell_length_a 4.1142
_cell_length_b 4.1142
_cell_length_c 40.3442
_cell_angle_alpha 90.00
_cell_angle_beta 90.00
_cell_angle_gamma 120.00
loop_
_atom_site_label
_atom_site_fract_x
_atom_site_fract_y
_atom_site_fract_z
Tb1 0.0000 0.0000 0.0000
Tb2 0.0000 0.0000 0.2507
Sm1 0.0000 0.0000 0.5000
Se1 0.0000 0.0000 0.1233
Se2 0.0000 0.0000 0.3746
```

Properties
For the density, the calculation gives 7943 kg/m3. The calculation puts the spin magnetization at 0.000 μB per cell.

Model two:
DFT (PBE-GGA) results for an optimized crystal structure of Tb3SmSe4.

```
data_Tb3SmSe4
_chemical_formula_sum 'Tb3 Sm1 Se4'
_space_group_name_H-M_alt 'P m -3 m'
_space_group_IT_number 221
_space_group_name_Hall '-P 4 2 3'
_cell_length_a 5.822
_cell_length_b 5.822
_cell_length_c 5.822
_cell_angle_alpha 90.00
_cell_angle_beta 90.00
_cell_angle_gamma 90.00
loop_
_atom_site_label
_atom_site_fract_x
_atom_site_fract_y
_atom_site_fract_z
Tb1 0.000 0.000 0.500
Sm1 0.500 0.500 0.500
Se1 0.000 0.000 0.000
Se2 0.000 0.500 0.500
```

Properties
For the density, the calculation gives 7936 kg/m3. The calculation puts the spin magnetization at 0.000 μB per cell.

model one has the most favorable energy; the next structure is 12 meV per atom above.

Model one:
DFT (PBE-GGA) results for an optimized crystal structure of TbSmSe.

```
data_TbSmSe
_chemical_formula_sum 'Tb8 Sm8 Se8'
_space_group_name_H-M_alt 'C m c e'
_space_group_IT_number 64
_space_group_name_Hall '-C 2ac 2'
_cell_length_a 8.491
_cell_length_b 10.972
_cell_length_c 7.577
_cell_angle_alpha 90.00
_cell_angle_beta 90.00
_cell_angle_gamma 90.00
loop_
_atom_site_label
_atom_site_fract_x
_atom_site_fract_y
_atom_site_fract_z
Tb1 0.000 0.202 0.165
Sm1 0.201 0.000 0.500
Se1 0.000 0.064 0.804
```

Properties
For the density, the calculation gives 7306 kg/m3. The calculation puts the spin magnetization at 0.000 μB per cell.

Model two:
DFT (PBE-GGA) results for an optimized crystal structure of TbSmSe.

```
data_TbSmSe
_chemical_formula_sum 'Tb1 Sm1 Se1'
_space_group_name_H-M_alt 'P 3 m 1'
_space_group_IT_number 156
_cell_length_a 3.9097
_cell_length_b 3.9097
_cell_length_c 6.6371
_cell_angle_alpha 90.00
_cell_angle_beta 90.00
_cell_angle_gamma 120.00
loop_
_space_group_symop_operation_xyz
'x,y,z'
'-y,x-y,z'
'-x+y,-x,z'
'-y,-x,z'
'-x+y,y,z'
'x,x-y,z'
loop_
_atom_site_label
_atom_site_fract_x
_atom_site_fract_y
_atom_site_fract_z
Tb1 0.0000 0.0000 0.0000
Sm1 0.3333 0.6667 0.5547
Se1 0.6667 0.3333 0.2714
```

Properties
For the density, the calculation gives 7338 kg/m3. The calculation puts the spin magnetization at 0.005 μB per cell.

Model three:
DFT (PBE-GGA) results for an optimized crystal structure of TbSmSe.

```
data_TbSmSe
_chemical_formula_sum 'Tb2 Sm2 Se2'
_space_group_name_H-M_alt 'I 4 m m'
_space_group_IT_number 107
_space_group_name_Hall 'I 4 -2'
_cell_length_a 3.627
_cell_length_b 3.627
_cell_length_c 12.590
_cell_angle_alpha 90.00
_cell_angle_beta 90.00
_cell_angle_gamma 90.00
loop_
_atom_site_label
_atom_site_fract_x
_atom_site_fract_y
_atom_site_fract_z
Tb1 0.000 0.000 0.000
Sm1 0.000 0.000 0.286
Se1 0.000 0.000 0.639
```

Properties
For the density, the calculation gives 7785 kg/m3. The calculation puts the spin magnetization at 0.000 μB per cell.

model two has the most favorable energy; the next structure is 108 meV per atom above.

Model one:
DFT (PBE-GGA) results for an optimized crystal structure of Tb2Sm3Se6.

```
data_Tb2Sm3Se6
_chemical_formula_sum 'Tb4 Sm6 Se12'
_space_group_name_H-M_alt 'C 1 2/m 1'
_space_group_IT_number 12
_cell_length_a 7.159
_cell_length_b 12.352
_cell_length_c 7.118
_cell_angle_alpha 90.00
_cell_angle_beta 109.51
_cell_angle_gamma 90.00
loop_
_space_group_symop_operation_xyz
'x,y,z'
'-x,-y,-z'
'-x,y,-z'
'x,-y,z'
'x+1/2,y+1/2,z'
'-x+1/2,-y+1/2,-z'
'-x+1/2,y+1/2,-z'
'x+1/2,-y+1/2,z'
loop_
_atom_site_label
_atom_site_fract_x
_atom_site_fract_y
_atom_site_fract_z
Tb1 0.000 0.165 0.000
Sm1 0.000 0.000 0.500
Sm2 0.000 0.336 0.500
Se1 0.246 0.335 0.242
Se2 0.249 0.500 0.762
```

Properties
For the density, the calculation gives 6957 kg/m3. The calculation puts the spin magnetization at 0.000 μB per cell.

Model two:
DFT (PBE-GGA) results for an optimized crystal structure of Tb2Sm3Se6.

```
data_Tb2Sm3Se6
_chemical_formula_sum 'Tb6 Sm9 Se18'
_space_group_name_H-M_alt 'R -3 m'
_space_group_IT_number 166
_space_group_name_Hall '-R 3 2"'
_cell_length_a 4.1689
_cell_length_b 4.1689
_cell_length_c 61.5888
_cell_angle_alpha 90.00
_cell_angle_beta 90.00
_cell_angle_gamma 120.00
loop_
_atom_site_label
_atom_site_fract_x
_atom_site_fract_y
_atom_site_fract_z
Tb1 0.0000 0.0000 0.0530
Sm1 0.0000 0.0000 0.2212
Sm2 0.0000 0.0000 0.5000
Se1 0.0000 0.0000 0.1391
Se2 0.0000 0.0000 0.3028
Se3 0.0000 0.0000 0.4164
```

Properties
For the density, the calculation gives 6678 kg/m3. The calculation puts the spin magnetization at 0.000 μB per cell.

model one has the most favorable energy; the next structure is 68 meV per atom above.